Record 1
HgTeH7O7: optimized geometry, PBE.

Cell lengths 5.986, 7.257, 8.713 Å; angles 88.31, 75.30, 87.47 degrees
Space group P-1 (No. 2)
Asymmetric unit:
Hg 0.189 0.472 0.394
Te 0.500 0.000 0.500
Te 0.500 0.500 0.000
H 0.024 0.949 0.790
H 0.089 0.632 0.057
H 0.182 0.907 0.133
H 0.204 0.054 0.347
H 0.261 0.215 0.032
H 0.387 0.793 0.742
H 0.421 0.232 0.716
O 0.148 0.036 0.168
O 0.221 0.101 0.451
O 0.224 0.667 0.092
O 0.295 0.316 0.949
O 0.306 0.901 0.699
O 0.485 0.392 0.204
O 0.485 0.766 0.395

Computed properties:
DOS at the Fermi energy, states/eV/cell: 0.0
E, eV per atom: -4.787



Record 2
Sr2Sn6Pd: optimized geometry, PBE.

Cell lengths 4.581, 4.542, 25.261 Å; angles 90.00, 90.00, 90.00 degrees
Space group Amm2 (No. 38)
Asymmetric unit:
Sr 0.000 0.000 0.000
Sr 0.000 0.000 0.334
Sn 0.000 0.000 0.612
Sn 0.000 0.000 0.727
Sn 0.500 0.000 0.113
Sn 0.500 0.000 0.228
Sn 0.500 0.000 0.448
Sn 0.500 0.000 0.878
Pd 0.500 0.000 0.554

Computed properties:
ΔE to the lowest computed polymorph, meV/atom: 30.5
DOS at the Fermi energy, states/eV/cell: 8.4
DFT formation energy, eV per atom: -0.45



Record 3
NdDyCdGa: optimized geometry, PBE.

Cell lengths 7.446, 7.446, 7.446 Å; angles 90.00, 90.00, 90.00 degrees
Space group F-43m (No. 216)
Asymmetric unit:
Nd 0.000 0.000 0.000
Dy 0.000 0.000 0.500
Cd 0.250 0.250 0.750
Ga 0.250 0.250 0.250

Computed properties:
ΔE to the lowest computed polymorph, meV/atom: 18.9
DOS at the Fermi energy, states/eV/cell: 15.5
DFT formation energy, eV per atom: -0.43